1.
LiHo2Ge2 | GGA-PBE | relaxed

Space group ... No. 71
Uncorrected energy ... -4.75 eV per atom
Magnetic moment ... 0.00 μB per cell

Lattice parameters (Å, degrees): 4.2584 5.6144 5.6145 64.39 67.71 67.71
Fractional positions:
1 Ho 0.7072 0.7929 0.2928
2 Ho 0.2928 0.2071 0.7072
3 Ge 0.0000 0.2173 0.2828
4 Ge 0.0000 0.7827 0.7172
5 Li 0.5000 0.5000 0.0000

***

2.
LiHo3Ge3 | GGA-PBE | relaxed

Space group ... No. 12
Uncorrected energy ... -4.97 eV per atom
Magnetic moment ... 0.00 μB per cell

Lattice parameters (Å, degrees): 4.2701 5.7926 13.1999 84.07 80.69 68.37
Fractional positions:
1 Ge 0.8763 0.1712 0.0762
2 Ge 0.1237 0.8288 0.9238
3 Ge 0.8729 0.7028 0.5515
4 Ge 0.0345 0.1630 0.7680
5 Ge 0.1271 0.2972 0.4485
6 Ge 0.9655 0.8370 0.2320
7 Li 0.2418 0.9228 0.5935
8 Li 0.7582 0.0772 0.4065
9 Ho 0.5996 0.7224 0.0783
10 Ho 0.7457 0.7316 0.7770
11 Ho 0.2543 0.2684 0.2230
12 Ho 0.4706 0.6792 0.3796
13 Ho 0.5294 0.3208 0.6204
14 Ho 0.4004 0.2776 0.9217

***

3.
Li2Ho3Ge4 | GGA-PBE | relaxed

Space group ... No. 12
Uncorrected energy ... -4.68 eV per atom
Magnetic moment ... 0.00 μB per cell

Lattice parameters (Å, degrees): 4.1914 5.8369 8.2754 107.11 90.00 111.04
Fractional positions:
1 Ho 0.3695 0.7389 0.3107
2 Ho 0.6305 0.2611 0.6893
3 Ho 0.0000 0.0000 0.0000
4 Ge 0.9260 0.8520 0.6030
5 Ge 0.0740 0.1480 0.3970
6 Ge 0.2905 0.5811 0.9330
7 Ge 0.7095 0.4189 0.0670
8 Li 0.6803 0.3606 0.3544
9 Li 0.3197 0.6394 0.6456

***

4.
LiHo2Ge | GGA-PBE | relaxed

Space group ... No. 123
Uncorrected energy ... -4.33 eV per atom
Magnetic moment ... 0.00 μB per cell

Lattice parameters (Å, degrees): 3.9618 4.7667 4.7667 90.00 90.00 90.00
Fractional positions:
1 Ho 0.0000 0.0000 0.5000
2 Ho 0.0000 0.5000 0.0000
3 Ge 0.5000 0.0000 0.0000
4 Li 0.5000 0.5000 0.5000

***

5.
LiHoLuGe | GGA-PBE | relaxed

Space group ... No. 216
Uncorrected energy ... -4.29 eV per atom
Magnetic moment ... 0.00 μB per cell

Lattice parameters (Å, degrees): 4.9501 4.9501 4.9501 60.00 60.00 60.00
Fractional positions:
1 Ho 0.0000 0.0000 0.0000
2 Lu 0.5000 0.5000 0.5000
3 Li 0.7500 0.7500 0.7500
4 Ge 0.2500 0.2500 0.2500

***

6.
LiHoMgGe | GGA-PBE | relaxed

Space group ... No. 216
Uncorrected energy ... -3.47 eV per atom
Magnetic moment ... 0.00 μB per cell

Lattice parameters (Å, degrees): 4.8586 4.8586 4.8586 60.00 60.00 60.00
Fractional positions:
1 Li 0.7500 0.7500 0.7500
2 Mg 0.5000 0.5000 0.5000
3 Ho 0.0000 0.0000 0.0000
4 Ge 0.2500 0.2500 0.2500

***

7.
Li2NdHoGe2 | GGA-PBE | relaxed

Space group ... No. 164
Uncorrected energy ... -4.41 eV per atom
Magnetic moment ... 0.00 μB per cell

Lattice parameters (Å, degrees): 4.4494 4.4494 7.3359 90.00 90.00 120.00
Fractional positions:
1 Li 0.6667 0.3333 0.2806
2 Li 0.3333 0.6667 0.7194
3 Ge 0.3333 0.6667 0.2628
4 Ge 0.6667 0.3333 0.7372
5 Nd 0.0000 0.0000 0.0000
6 Ho 0.0000 0.0000 0.5000

***

8.
LiNdHoGe | GGA-PBE | relaxed

Space group ... No. 216
Uncorrected energy ... -4.38 eV per atom
Magnetic moment ... 0.00 μB per cell

Lattice parameters (Å, degrees): 5.0965 5.0965 5.0965 60.00 60.00 60.00
Fractional positions:
1 Li 0.7500 0.7500 0.7500
2 Nd 0.0000 0.0000 0.0000
3 Ge 0.2500 0.2500 0.2500
4 Ho 0.5000 0.5000 0.5000

***

9.
LiHoNiGe | GGA-PBE | relaxed

Space group ... No. 216
Uncorrected energy ... -4.78 eV per atom
Magnetic moment ... 0.00 μB per cell

Lattice parameters (Å, degrees): 4.4427 4.4427 4.4427 60.00 60.00 60.00
Fractional positions:
1 Ge 0.2500 0.2500 0.2500
2 Li 0.5000 0.5000 0.5000
3 Ho 0.7500 0.7500 0.7500
4 Ni 0.0000 0.0000 0.0000

***

10.
LiHo2Ni3Ge4 | GGA-PBE | relaxed

Space group ... No. 115
Uncorrected energy ... -5.33 eV per atom
Magnetic moment ... 0.00 μB per cell

Lattice parameters (Å, degrees): 4.0864 4.0864 9.7903 90.00 90.00 90.00
Fractional positions:
1 Ni 0.0000 0.5000 0.1245
2 Ni 0.0000 0.0000 0.5000
3 Ni 0.5000 0.0000 0.8755
4 Li 0.5000 0.5000 0.5000
5 Ge 0.5000 0.5000 0.0000
6 Ge 0.0000 0.5000 0.3634
7 Ge 0.0000 0.0000 0.0000
8 Ge 0.5000 0.0000 0.6366
9 Ho 0.0000 0.5000 0.7508
10 Ho 0.5000 0.0000 0.2492

***

11.
LiHoGeO4 | GGA-PBE | relaxed

Space group ... No. 74
Formation energy without anion corrections ... -2.413 eV/atom
Magnetic moment ... 0.00 μB per cell

Lattice parameters (Å, degrees): 6.0148 6.1399 6.1399 66.85 60.67 60.67
Fractional positions:
1 O 0.7388 0.7598 0.2598
2 O 0.7326 0.7386 0.7962
3 O 0.2674 0.2614 0.2037
4 O 0.2417 0.7598 0.2598
5 O 0.7326 0.2962 0.2386
6 O 0.2612 0.2402 0.7402
7 O 0.7583 0.2402 0.7402
8 O 0.2674 0.7038 0.7614
9 Ho 0.0000 0.0000 0.0000
10 Ho 0.0000 0.5000 0.5000
11 Li 0.0000 0.0000 0.5000
12 Li 0.5000 0.0000 0.5000
13 Ge 0.3829 0.3671 0.8671
14 Ge 0.6171 0.6329 0.1329

***

12.
LiHoGePd | GGA-PBE | relaxed

Space group ... No. 216
Uncorrected energy ... -4.81 eV per atom
Magnetic moment ... 0.00 μB per cell

Lattice parameters (Å, degrees): 4.5992 4.5992 4.5992 60.00 60.00 60.00
Fractional positions:
1 Ho 0.7500 0.7500 0.7500
2 Li 0.5000 0.5000 0.5000
3 Ge 0.2500 0.2500 0.2500
4 Pd 0.0000 0.0000 0.0000

***

13.
LiHoGe2Pd5 | GGA-PBE | relaxed

Space group ... No. 123
Uncorrected energy ... -5.24 eV per atom
Magnetic moment ... 0.00 μB per cell

Lattice parameters (Å, degrees): 4.3018 4.3018 8.2852 90.00 90.00 90.00
Fractional positions:
1 Pd 0.5000 0.0000 0.2883
2 Pd 0.0000 0.5000 0.7117
3 Pd 0.0000 0.5000 0.2883
4 Pd 0.5000 0.5000 0.5000
5 Pd 0.5000 0.0000 0.7117
6 Ho 0.0000 0.0000 0.0000
7 Li 0.0000 0.0000 0.5000
8 Ge 0.5000 0.5000 0.1492
9 Ge 0.5000 0.5000 0.8508

***

14.
LiHo2Ge3Pd4 | GGA-PBE | relaxed

Space group ... No. 115
Uncorrected energy ... -5.34 eV per atom
Magnetic moment ... 0.00 μB per cell

Lattice parameters (Å, degrees): 4.1817 4.1817 10.4238 90.00 90.00 90.00
Fractional positions:
1 Ho 0.0000 0.5000 0.7541
2 Ho 0.5000 0.0000 0.2459
3 Pd 0.0000 0.0000 0.0000
4 Pd 0.5000 0.0000 0.6310
5 Pd 0.0000 0.5000 0.3690
6 Pd 0.5000 0.5000 0.0000
7 Li 0.5000 0.5000 0.5000
8 Ge 0.0000 0.5000 0.1376
9 Ge 0.0000 0.0000 0.5000
10 Ge 0.5000 0.0000 0.8624

***

15.
Li2PmHo2Ge2 | GGA-PBE | relaxed

Space group ... No. 166
Uncorrected energy ... -4.34 eV per atom
Magnetic moment ... 0.00 μB per cell

Lattice parameters (Å, degrees): 4.4964 4.4964 9.3027 76.01 76.01 60.00
Fractional positions:
1 Pm 0.0000 0.0000 0.0000
2 Ge 0.2602 0.2602 0.2193
3 Ge 0.7398 0.7398 0.7807
4 Li 0.4047 0.4047 0.7860
5 Li 0.5953 0.5953 0.2140
6 Ho 0.8720 0.8720 0.3841
7 Ho 0.1280 0.1280 0.6159

***

16.
Li2PmHoGe2 | GGA-PBE | relaxed

Space group ... No. 164
Uncorrected energy ... -4.42 eV per atom
Magnetic moment ... 0.00 μB per cell

Lattice parameters (Å, degrees): 4.4373 4.4373 7.2977 90.00 90.00 120.00
Fractional positions:
1 Li 0.6667 0.3333 0.2750
2 Li 0.3333 0.6667 0.7250
3 Pm 0.0000 0.0000 0.0000
4 Ge 0.3333 0.6667 0.2601
5 Ge 0.6667 0.3333 0.7399
6 Ho 0.0000 0.0000 0.5000

***

17.
Li2Pr2HoGe2 | GGA-PBE | relaxed

Space group ... No. 166
Uncorrected energy ... -4.37 eV per atom
Magnetic moment ... 0.00 μB per cell

Lattice parameters (Å, degrees): 4.4410 4.4410 10.1035 77.30 77.30 60.00
Fractional positions:
1 Ge 0.2738 0.2738 0.1786
2 Ge 0.7262 0.7262 0.8214
3 Pr 0.1220 0.1220 0.6341
4 Pr 0.8780 0.8780 0.3659
5 Ho 0.0000 0.0000 0.0000
6 Li 0.6134 0.6134 0.1599
7 Li 0.3866 0.3866 0.8401

***

18.
LiHoGe2Pt2 | GGA-PBE | relaxed

Space group ... No. 164
Uncorrected energy ... -5.52 eV per atom
Magnetic moment ... 0.00 μB per cell

Lattice parameters (Å, degrees): 4.3599 4.3599 6.4054 90.00 90.00 120.00
Fractional positions:
1 Ge 0.6667 0.3333 0.7049
2 Ge 0.3333 0.6667 0.2951
3 Pt 0.6667 0.3333 0.2841
4 Pt 0.3333 0.6667 0.7159
5 Li 0.0000 0.0000 0.5000
6 Ho 0.0000 0.0000 0.0000

***

19.
LiHo2Ge4Pt3 | GGA-PBE | relaxed

Space group ... No. 115
Uncorrected energy ... -5.60 eV per atom
Magnetic moment ... 0.00 μB per cell

Lattice parameters (Å, degrees): 4.1133 4.1133 10.8995 90.00 90.00 90.00
Fractional positions:
1 Pt 0.5000 0.0000 0.8603
2 Pt 0.0000 0.5000 0.1397
3 Pt 0.0000 0.0000 0.5000
4 Ge 0.5000 0.5000 0.0000
5 Ge 0.0000 0.0000 0.0000
6 Ge 0.0000 0.5000 0.3651
7 Ge 0.5000 0.0000 0.6349
8 Li 0.5000 0.5000 0.5000
9 Ho 0.0000 0.5000 0.7385
10 Ho 0.5000 0.0000 0.2615

***

20.
LiHoGe2Pt4 | GGA-PBE | relaxed

Space group ... No. 166
Uncorrected energy ... -5.74 eV per atom
Magnetic moment ... 0.00 μB per cell

Lattice parameters (Å, degrees): 4.2659 4.2659 8.8014 75.97 75.97 60.00
Fractional positions:
1 Li 0.5000 0.5000 0.5000
2 Ge 0.7585 0.7585 0.7246
3 Ge 0.2415 0.2415 0.2754
4 Ho 0.0000 0.0000 0.0000
5 Pt 0.5976 0.5976 0.2072
6 Pt 0.8648 0.8648 0.4057
7 Pt 0.4024 0.4024 0.7928
8 Pt 0.1352 0.1352 0.5943